(1)
The following is a PBE calculation of a geometry-optimized CuNi3N structure, from Alexandria. Values from VASP.

Calculated values
- formation energy without anion corrections (eV/atom) = 0.114
- ρ (g/cm³) = 8.1
- polymorph energy (0 for the lowest one) (eV per atom) = 0.124

Structure (Quantum ESPRESSO input):
```
&SYSTEM
  ibrav = 0, nat = 10, ntyp = 3
/
ATOMIC_SPECIES
Ni 58.69 Ni.upf
Cu 63.55 Cu.upf
N 14.01 N.upf
ATOMIC_POSITIONS angstrom
Ni -0.566 2.764 3.731
Ni -0.368 2.626 6.364
Ni -2.794 1.418 3.754
Ni -0.548 0.441 4.852
Ni 1.701 1.785 4.839
Ni 1.481 1.879 2.161
Cu 1.501 -0.459 3.257
Cu -0.732 0.532 2.122
N -1.049 4.146 2.582
N 0.488 1.258 3.549
CELL_PARAMETERS angstrom
-4.010 1.636 3.049
2.463 -1.195 3.705
1.697 3.905 0.207
```


(2)
The following is a PBE calculation of a geometry-optimized CuNi3N structure, from Alexandria. Values from VASP.

Calculated values
- formation energy without anion corrections (eV/atom) = 0.074
- ρ (g/cm³) = 8.2
- polymorph energy (0 for the lowest one) (eV per atom) = 0.085

Structure (Quantum ESPRESSO input):
```
&SYSTEM
  ibrav = 0, nat = 10, ntyp = 3
/
ATOMIC_SPECIES
Ni 58.69 Ni.upf
Cu 63.55 Cu.upf
N 14.01 N.upf
ATOMIC_POSITIONS angstrom
Ni -4.908 -0.217 0.539
Ni -3.654 -3.367 2.114
Ni -2.808 -0.293 -1.177
Ni -3.902 -2.562 -0.382
Ni -6.017 -2.485 1.316
Ni -2.546 -1.099 1.337
Cu -4.622 -1.024 3.082
Cu -3.576 1.248 2.227
N -4.432 0.522 -1.114
N -4.265 -1.829 1.242
CELL_PARAMETERS angstrom
-2.687 0.174 -3.325
-2.217 -4.536 1.555
-2.996 2.336 2.543
```


(3)
The following is a PBE calculation of a geometry-optimized CuNi3N structure, from Alexandria. Values from VASP.

Calculated values
- formation energy without anion corrections (eV/atom) = 0.523
- ρ (g/cm³) = 5.4
- polymorph energy (0 for the lowest one) (eV per atom) = 0.533

Structure (Quantum ESPRESSO input):
```
&SYSTEM
  ibrav = 0, nat = 5, ntyp = 3
/
ATOMIC_SPECIES
Ni 58.69 Ni.upf
Cu 63.55 Cu.upf
N 14.01 N.upf
ATOMIC_POSITIONS angstrom
Ni 1.272 1.180 0.853
Ni 1.272 3.698 0.853
Ni 0.000 2.439 2.989
Cu 1.272 2.439 5.035
N 0.000 2.439 1.233
CELL_PARAMETERS angstrom
2.544 0.000 0.000
0.000 2.439 -6.286
0.000 2.439 6.286
```


Which value of formation energy without anion corrections does entry 1 give?
0.114 eV/atom